Entry 1:
# PBE Pm6Ti3O14, optimized geometry
# - total moment (Bohr magnetons per cell) = 2.140
# - uncorrected formation energy (eV per formula unit) = -73.87
# - D(E_F) (states/eV per cell) = 1.8
data_Pm6Ti3O14
_chemical_formula_sum 'Pm6 Ti3 O14'
_cell_length_a 8.3548
_cell_length_b 8.3548
_cell_length_c 5.3201
_cell_angle_alpha 90.00
_cell_angle_beta 90.00
_cell_angle_gamma 120.00
_space_group_name_H-M_alt 'P 3'
_space_group_IT_number 143
_space_group_name_Hall 'P 3'
loop_
_atom_site_label
_atom_site_type_symbol
_atom_site_fract_x
_atom_site_fract_y
_atom_site_fract_z
Pm1 Pm 0.0229 0.5568 0.0000
Pm2 Pm 0.2952 0.0950 0.5215
Ti1 Ti 0.0000 0.0000 0.9729
Ti2 Ti 0.3333 0.6667 0.4476
Ti3 Ti 0.6667 0.3333 0.3515
O1 O 0.0000 0.0000 0.3228
O2 O 0.0748 0.8546 0.8107
O3 O 0.1946 0.4438 0.2886
O4 O 0.3333 0.6667 0.7992
O5 O 0.4308 0.1912 0.1235
O6 O 0.5191 0.4231 0.5847


Entry 2:
# PBE PmTiO3, optimized geometry
# - total moment (Bohr magnetons per cell) = 0.000
# - uncorrected formation energy (eV per formula unit) = -15.20
# - D(E_F) (states/eV per cell) = 2.1
data_PmTiO3
_chemical_formula_sum 'Pm1 Ti1 O3'
_cell_length_a 3.9190
_cell_length_b 3.9190
_cell_length_c 3.9190
_cell_angle_alpha 90.00
_cell_angle_beta 90.00
_cell_angle_gamma 90.00
_space_group_name_H-M_alt 'P m -3 m'
_space_group_IT_number 221
_space_group_name_Hall '-P 4 2 3'
loop_
_atom_site_label
_atom_site_type_symbol
_atom_site_fract_x
_atom_site_fract_y
_atom_site_fract_z
Pm1 Pm 0.0000 0.0000 0.0000
Ti1 Ti 0.5000 0.5000 0.5000
O1 O 0.0000 0.5000 0.5000


Entry 3:
# PBE PmTi3O8, optimized geometry
# - total moment (Bohr magnetons per cell) = 2.114
# - uncorrected formation energy (eV per formula unit) = -34.15
data_PmTi3O8
_chemical_formula_sum 'Pm2 Ti6 O16'
_cell_length_a 12.8544
_cell_length_b 3.8427
_cell_length_c 7.2907
_cell_angle_alpha 90.00
_cell_angle_beta 110.16
_cell_angle_gamma 90.00
_space_group_name_H-M_alt 'C 1 m 1'
_space_group_IT_number 8
_space_group_name_Hall 'C -2y'
loop_
_atom_site_label
_atom_site_type_symbol
_atom_site_fract_x
_atom_site_fract_y
_atom_site_fract_z
Pm1 Pm 0.0000 0.0000 0.0000
Ti1 Ti 0.0784 0.0000 0.5875
Ti2 Ti 0.2975 0.0000 0.0415
Ti3 Ti 0.3766 0.0000 0.5690
O1 O 0.0396 0.5000 0.6064
O2 O 0.0571 0.0000 0.3318
O3 O 0.1522 0.0000 0.8997
O4 O 0.2295 0.0000 0.6001
O5 O 0.3162 0.0000 0.3100
O6 O 0.3270 0.5000 0.0535
O7 O 0.4105 0.0000 0.9034
O8 O 0.4192 0.5000 0.6266